Entry 1:
A relaxed structure of Pm2Sm2Tl. Source: Alexandria, functional PBE.

The structure in CIF format:
```
data_Pm2Sm2Tl
_chemical_formula_sum 'Pm8 Sm8 Tl4'
_symmetry_space_group_name_H-M 'C 1 2/m 1'
_symmetry_Int_Tables_number 12
_symmetry_space_group_name_Hall '-C 2y'
_cell_length_a 8.672
_cell_length_b 9.558
_cell_length_c 8.646
_cell_angle_alpha 90.00
_cell_angle_beta 115.84
_cell_angle_gamma 90.00
loop_
_atom_site_label
_atom_site_type_symbol
_atom_site_fract_x
_atom_site_fract_y
_atom_site_fract_z
Pm1 Pm 0.076 0.186 0.214
Sm1 Sm 0.155 0.500 0.926
Sm2 Sm 0.220 0.000 0.612
Tl1 Tl 0.000 0.331 0.500
```

Calculated values
M_tot: 0.00 μB per formula unit
E_tot: -86.62 eV per cell

Entry 2:
A relaxed structure of Pm3Sm2Tl. Source: Alexandria, functional PBE.

The structure in CIF format:
```
data_Pm3Sm2Tl
_chemical_formula_sum 'Pm6 Sm4 Tl2'
_symmetry_space_group_name_H-M 'C m m m'
_symmetry_Int_Tables_number 65
_symmetry_space_group_name_Hall '-C 2 2'
_cell_length_a 4.963
_cell_length_b 15.518
_cell_length_c 4.967
_cell_angle_alpha 90.00
_cell_angle_beta 90.00
_cell_angle_gamma 90.00
loop_
_atom_site_label
_atom_site_type_symbol
_atom_site_fract_x
_atom_site_fract_y
_atom_site_fract_z
Pm1 Pm 0.000 0.000 0.000
Pm2 Pm 0.000 0.334 0.000
Sm1 Sm 0.000 0.162 0.500
Tl1 Tl 0.000 0.500 0.500
```

Calculated values
M_tot: 0.00 μB per formula unit
E_tot: -53.41 eV per cell